Entry 1:
Below is an optimized crystal structure of TlSbAu4, with properties calculated at the GGA-PBEsol level.

Values from the calculation:
As for the total moment: 0.00 μB/cell. The total energy is -22.679 eV per formula unit. The value obtained for the energy relative to the elements, uncorrected is 0.034 eV per atom. As for the symmetry: F-43m.

abc: 5.5564 5.5564 5.5564
angles: 60.00 60.00 60.00
With the nearest neighbours (Å) after each atom.
Sites, in units of the cell vectors:
1 Sb 0.7500 0.7500 0.7500  12 Au 3.26, 4 Tl 3.40
2 Tl 0.0000 0.0000 0.0000  12 Au 3.26, 4 Sb 3.40
3 Au 0.3752 0.3752 0.3752  6 Au 2.77-2.78
4 Au 0.3752 0.3752 0.8746  6 Au 2.77-2.78
5 Au 0.8746 0.3752 0.3752  6 Au 2.77-2.78
6 Au 0.3752 0.8746 0.3752  6 Au 2.77-2.78

=====

Entry 2:
Below is an optimized crystal structure of TlSb2Au, with properties calculated at the GGA-PBEsol level.

Values from the calculation:
As for the total moment: 0.00 μB/cell. The total energy is -14.712 eV per formula unit. The value obtained for the energy relative to the elements, uncorrected is 0.239 eV per atom. As for the symmetry: Fm-3m. The calculation puts the energy above the lowest structure with this stoichiometry at 288.7 meV per atom.

abc: 5.1361 5.1361 5.1361
angles: 60.00 60.00 60.00
With the nearest neighbours (Å) after each atom.
Sites, in units of the cell vectors:
1 Au 0.0000 0.0000 0.0000  8 Sb 3.15
2 Sb 0.7500 0.7500 0.7500  4 Tl 3.15, 4 Au 3.15
3 Sb 0.2500 0.2500 0.2500  4 Au 3.15, 4 Tl 3.15
4 Tl 0.5000 0.5000 0.5000  8 Sb 3.15

=====

Entry 3:
Below is an optimized crystal structure of Tl2SbAu, with properties calculated at the GGA-PBEsol level.

Values from the calculation:
As for the total moment: 0.00 μB/cell. The total energy is -13.679 eV per formula unit. The value obtained for the energy relative to the elements, uncorrected is 0.016 eV per atom. As for the symmetry: Immm. The calculation puts the energy above the lowest structure with this stoichiometry at 54.6 meV per atom.

abc: 3.7482 4.2403 7.2829
angles: 106.92 104.91 90.00
With the nearest neighbours (Å) after each atom.
Sites, in units of the cell vectors:
1 Sb 0.0000 0.5000 0.0000  4 Au 2.83
2 Tl 0.8137 0.8137 0.6275  2 Au 3.12, 2 Sb 3.28, 4 Tl 3.31
3 Tl 0.1863 0.1863 0.3725  2 Au 3.12, 2 Sb 3.28, 4 Tl 3.31
4 Au 0.5000 0.0000 0.0000  4 Sb 2.83, 4 Tl 3.12

=====

Entry 4:
Below is an optimized crystal structure of TlSb2Au, with properties calculated at the GGA-PBEsol level.

Values from the calculation:
As for the total moment: 0.00 μB/cell. The total energy is -15.506 eV per formula unit. The value obtained for the energy relative to the elements, uncorrected is 0.041 eV per atom. As for the symmetry: Immm. The calculation puts the energy above the lowest structure with this stoichiometry at 90.4 meV per atom.

abc: 3.3701 5.5225 6.2688
angles: 116.13 105.59 90.00
With the nearest neighbours (Å) after each atom.
Sites, in units of the cell vectors:
1 Au 0.0000 0.5000 0.0000  4 Sb 2.81
2 Sb 0.7095 0.7095 0.4191  2 Au 2.81
3 Sb 0.2905 0.2905 0.5809  2 Au 2.81
4 Tl 0.5000 0.0000 0.0000  4 Au 3.23, 2 Tl 3.37, 8 Sb 3.55-3.56

=====

Entry 5:
Below is an optimized crystal structure of Tl2SbAu, with properties calculated at the GGA-PBEsol level.

Values from the calculation:
As for the total moment: 0.00 μB/cell. The total energy is -13.682 eV per formula unit. The value obtained for the energy relative to the elements, uncorrected is 0.015 eV per atom. As for the symmetry: Pm. The calculation puts the energy above the lowest structure with this stoichiometry at 53.8 meV per atom.

abc: 3.2663 4.3151 7.4404
angles: 90.00 102.49 90.00
With the nearest neighbours (Å) after each atom.
Sites, in units of the cell vectors:
1 Sb 0.4199 0.5000 0.7192  2 Au 2.73
2 Tl 0.0608 0.0000 0.9996  6 Tl 3.27-3.46, 4 Sb 3.38-3.39, 1 Au 3.55
3 Tl 0.7115 0.5000 0.2934  4 Au 3.05, 2 Tl 3.27
4 Au 0.3078 0.0000 0.4878  2 Sb 2.73, 4 Tl 3.05

=====

Entry 6:
Below is an optimized crystal structure of Tl2SbAu, with properties calculated at the GGA-PBEsol level.

Values from the calculation:
As for the total moment: 0.00 μB/cell. The total energy is -13.562 eV per formula unit. The value obtained for the energy relative to the elements, uncorrected is 0.045 eV per atom. As for the symmetry: Imm2. The calculation puts the energy above the lowest structure with this stoichiometry at 83.8 meV per atom.

abc: 3.5172 5.2185 6.3758
angles: 114.16 106.01 90.00
With the nearest neighbours (Å) after each atom.
Sites, in units of the cell vectors:
1 Au 0.4882 0.4882 0.9764  2 Sb 2.78, 2 Tl 3.02
2 Sb 0.7935 0.2935 0.5871  2 Au 2.78
3 Tl 0.0085 0.0085 0.0171  4 Au 3.15, 4 Tl 3.43-3.52
4 Tl 0.2097 0.7097 0.4194  2 Au 3.02, 4 Sb 3.28

=====

Entry 7:
Below is an optimized crystal structure of TlSb2Au, with properties calculated at the GGA-PBEsol level.

Values from the calculation:
As for the total moment: 0.00 μB/cell. The total energy is -15.867 eV per formula unit. The value obtained for the energy relative to the elements, uncorrected is -0.050 eV per atom. As for the symmetry: P2/m. The calculation puts the energy above the lowest structure with this stoichiometry at 0.0 meV per atom.

abc: 4.2596 4.9248 5.3478
angles: 107.06 90.00 90.00
With the nearest neighbours (Å) after each atom.
Sites, in units of the cell vectors:
1 Sb 0.0000 0.2776 0.1917  2 Au 2.73, 1 Sb 2.90
2 Sb 0.0000 0.7224 0.8083  2 Au 2.73, 1 Sb 2.90
3 Tl 0.5000 0.0000 0.5000  2 Au 3.06, 4 Sb 3.23
4 Au 0.5000 0.5000 0.0000  4 Sb 2.73

=====

Entry 8:
Below is an optimized crystal structure of SbWAu, with properties calculated at the GGA-PBEsol level.

Values from the calculation:
As for the total moment: 0.00 μB/cell. The total energy is -20.522 eV per formula unit. The value obtained for the energy relative to the elements, uncorrected is 0.589 eV per atom. As for the symmetry: I4mm.

abc: 2.9448 2.9448 7.2609
angles: 101.70 101.70 90.00
With the nearest neighbours (Å) after each atom.
Sites, in units of the cell vectors:
1 Au 0.9702 0.9702 0.9405  4 W 2.76, 4 Au 2.94
2 Sb 0.6901 0.6901 0.3802  4 W 2.94, 4 Sb 2.94
3 W 0.3397 0.3397 0.6793  4 Au 2.76, 4 Sb 2.94, 4 W 2.94

=====

Entry 9:
Below is an optimized crystal structure of YSbAu2, with properties calculated at the GGA-PBEsol level.

Values from the calculation:
As for the total moment: 0.00 μB/cell. The total energy is -21.853 eV per formula unit. The value obtained for the energy relative to the elements, uncorrected is -0.656 eV per atom. As for the symmetry: I4/mmm.

abc: 4.4084 4.4084 5.3235
angles: 114.46 114.46 90.00
With the nearest neighbours (Å) after each atom.
Sites, in units of the cell vectors:
1 Y 0.5000 0.5000 0.0000  8 Au 3.08, 4 Sb 3.12
2 Sb 0.0000 0.0000 0.0000  8 Au 3.08, 4 Y 3.12
3 Au 0.7500 0.2500 0.5000  4 Sb 3.08, 4 Y 3.08, 4 Au 3.12
4 Au 0.2500 0.7500 0.5000  4 Sb 3.08, 4 Y 3.08, 4 Au 3.12

=====

Entry 10:
Below is an optimized crystal structure of YSbAu, with properties calculated at the GGA-PBEsol level.

Values from the calculation:
As for the total moment: 0.00 μB/cell. The total energy is -17.807 eV per formula unit. The value obtained for the energy relative to the elements, uncorrected is -0.835 eV per atom. As for the symmetry: P3m1.

abc: 4.1199 4.4664 4.4664
angles: 120.00 90.00 90.00
With the nearest neighbours (Å) after each atom.
Sites, in units of the cell vectors:
1 Y 0.3051 0.3333 0.6667  3 Au 2.98, 3 Sb 3.17
2 Sb 0.7530 0.6667 0.3333  3 Au 2.69
3 Au 0.9419 0.0000 0.0000  3 Sb 2.69, 3 Y 2.98

=====

Entry 11:
Below is an optimized crystal structure of YSbAu2, with properties calculated at the GGA-PBEsol level.

Values from the calculation:
As for the total moment: 0.00 μB/cell. The total energy is -21.738 eV per formula unit. The value obtained for the energy relative to the elements, uncorrected is -0.628 eV per atom. As for the symmetry: R3m.

abc: 4.6314 4.6314 5.6826
angles: 65.95 65.95 60.00
With the nearest neighbours (Å) after each atom.
Sites, in units of the cell vectors:
1 Y 0.2330 0.2330 0.3009  6 Au 2.90-3.15, 1 Sb 3.00
2 Sb 0.4326 0.4326 0.7021  6 Au 2.81-2.99, 1 Y 3.00
3 Au 0.0100 0.0100 0.9701  1 Au 2.79, 3 Sb 2.99
4 Au 0.8244 0.8244 0.5268  1 Au 2.79, 3 Sb 2.81, 3 Y 2.90

=====

Entry 12:
Below is an optimized crystal structure of Y2SbAu, with properties calculated at the GGA-PBEsol level.

Values from the calculation:
As for the total moment: 0.95 μB/cell. The total energy is -23.878 eV per formula unit. The value obtained for the energy relative to the elements, uncorrected is -0.438 eV per atom. As for the symmetry: R3m.

abc: 4.3408 4.3408 7.5449
angles: 73.28 73.28 60.00
With the nearest neighbours (Å) after each atom.
Sites, in units of the cell vectors:
1 Au 0.5114 0.5114 0.4657  3 Sb 2.74, 3 Y 2.85
2 Sb 0.2304 0.2304 0.3089  3 Au 2.74, 3 Y 3.03
3 Y 0.9771 0.9771 0.0687  3 Sb 3.03
4 Y 0.7811 0.7811 0.6566  3 Au 2.85

=====

Q: Among the records above, which one has the lowest total energy?
A: Y2SbAu